#one
Computed, not measured: CrGeW3 after structural relaxation at the PBE-GGA level of DFT.

Output
Crystal system: cubic
Space group: Pm-3m, No. 221

Cell lengths 4.514, 4.514, 4.514 Å; angles 90.00, 90.00, 90.00 degrees
Atoms (fractional coordinates):
W1 0.000 0.000 0.500
W2 0.500 0.000 0.000
Cr1 0.000 0.000 0.000
Ge1 0.500 0.500 0.500
W3 0.000 0.500 0.000

=====

#two
Computed, not measured: CrGeW3 after structural relaxation at the PBE-GGA level of DFT.

Output
Crystal system: cubic
Space group: Pm-3m, No. 221

Cell lengths 4.544, 4.544, 4.544 Å; angles 90.00, 90.00, 90.00 degrees
Atoms (fractional coordinates):
W1 0.000 0.500 0.000
Ge1 0.000 0.000 0.000
Cr1 0.500 0.500 0.500
W2 0.000 0.000 0.500
W3 0.500 0.000 0.000

=====

Most stable structure, least stable structure: #one, #two.